[1]
The following is a PBE calculation of Be2SiSe after structural relaxation, from Alexandria via LeMat-Bulk.

The structure in POSCAR format:
```
Be2SiSe
1.0
1.4949 -3.6934 -1.4678
-1.7047 -1.7508 -3.4726
2.2072 -0.1066 -3.6259
Be Si Se
2 1 1
Cartesian
0.4993 -1.3877 -2.1416
1.4980 -4.1631 -6.4248
0.0000 0.0000 0.0000
0.9987 -2.7754 -4.2832
```

Results
SG: Fm-3m



[2]
The following is a PBE calculation of BeSi2Se after structural relaxation, from Alexandria via LeMat-Bulk.

The structure in POSCAR format:
```
BeSi2Se
1.0
4.7468 0.0000 0.0000
0.0000 3.6110 -0.0106
0.0000 0.4343 3.5841
Be Si Se
1 2 1
Cartesian
2.3734 1.0113 0.8934
0.0000 0.1456 0.1286
0.0000 1.8771 1.6581
2.3734 3.0340 2.6801
```

Results
SG: Cmmm



[3]
The following is a PBE calculation of BeSi2Se after structural relaxation, from Alexandria via LeMat-Bulk.

The structure in POSCAR format:
```
BeSi2Se
1.0
4.4539 0.0135 0.0000
-1.4202 4.2214 0.0000
0.0000 0.0000 3.3046
Be Si Se
1 2 1
Cartesian
2.2269 0.0067 1.6523
0.0000 0.0000 0.0000
1.5168 2.1174 0.0000
-0.7101 2.1107 1.6523
```

Results
SG: Cmmm



Computed energy relative to the elements, uncorrected, in the same sequence as the records: 0.7142 0.2563 0.6709 eV per atom.
Computed density of states at the Fermi level, in the same sequence as the records: 0.64 0.35 0.52 states/eV/atom.